PBE TiV4N4, optimized geometry; space-group type = P-1, No. 2; volume = 181.9 Å³ per cell; final energy = -9.668 eV per atom; DOS at the Fermi energy = 0.671 states/eV/atom; ΔE_f (raw) = -1.038 eV per atom; M_tot = 0.0 μB per cell
1.0
5.025 0.000 -0.002
1.801 4.782 -0.001
1.018 2.278 7.569
N V Ti
8 8 2
Direct
0.510 0.398 0.188
0.003 0.292 0.413
0.997 0.708 0.587
0.490 0.204 0.599
0.490 0.602 0.812
0.825 0.855 0.010
0.175 0.145 0.990
0.510 0.796 0.401
0.739 0.458 0.600
0.239 0.743 0.008
0.739 0.064 0.404
0.261 0.542 0.400
0.261 0.936 0.596
0.249 0.386 0.771
0.751 0.614 0.229
0.761 0.257 0.992
0.741 0.858 0.780
0.259 0.142 0.220